## KSmCr2O8 (GGA+U)

Data for a geometry-optimized KSmCr2O8 structure.

E ... -6.913 eV/atom
Magnetization ... 0.000 μB/cell
SG ... No. 164

The structure in extended XYZ format:
```
12
Lattice="5.834 0.000 0.000 -2.917 5.053 0.000 0.000 0.000 7.755" Properties=species:S:1:pos:R:3 pbc="T T T"
K 0.000 0.000 0.000
Sm 0.000 0.000 3.878
Cr 0.000 3.368 5.909
Cr 2.917 1.684 1.846
O 0.000 1.781 5.356
O -1.375 4.162 5.356
O 0.000 3.368 7.527
O 1.542 0.890 2.399
O 1.375 4.162 5.356
O 2.917 1.684 0.228
O 4.292 0.890 2.399
O 2.917 3.272 2.399
```